PBE Tb7Dy5Y, optimized geometry; density = 7.79 Mg/m³; calculated formation energy = 3.2 eV per formula unit; D(E_F) = 23.8 states/eV per cell; SG = Imm2 (44)
1.0
-3.332 5.582 5.772
3.332 -5.582 5.772
3.332 5.582 -5.772
Tb Dy Y
7 5 1
direct
0.000 0.000 0.000 Tb
0.076 0.744 0.331 Tb
0.304 0.304 0.000 Tb
0.413 0.744 0.669 Tb
0.571 0.244 0.327 Tb
0.917 0.244 0.673 Tb
0.990 0.490 0.500 Tb
0.268 0.264 0.539 Dy
0.268 0.729 0.004 Dy
0.495 0.995 0.500 Dy
0.725 0.264 0.996 Dy
0.725 0.729 0.461 Dy
0.690 0.690 0.000 Y


PBE LiTmAl2, optimized geometry; density = 4.60 Mg/m³; calculated formation energy = 0.0 eV per formula unit; D(E_F) = 3.0 states/eV per cell; energy above the most stable polymorph in this dataset = 266 meV/atom; SG = R-3m (166)
1.0
1.562 0.902 9.822
-1.562 0.902 9.822
0.000 -1.803 9.822
Li Tm Al
1 1 2
direct
0.000 0.000 0.000 Li
0.500 0.500 0.500 Tm
0.254 0.254 0.254 Al
0.746 0.746 0.746 Al


PBE CaNiHg2, optimized geometry; density = 9.70 Mg/m³; calculated formation energy = -0.2 eV per formula unit; D(E_F) = 3.4 states/eV per cell; SG = P4/mmm (123)
1.0
4.393 0.000 0.000
0.000 4.393 0.000
0.000 0.000 4.437
Ca Ni Hg
1 1 2
direct
0.000 0.000 0.000 Ca
0.500 0.500 0.000 Ni
0.000 0.500 0.500 Hg
0.500 0.000 0.500 Hg


PBE TlCd4Au4, optimized geometry; density = 10.41 Mg/m³; calculated formation energy = -0.5 eV per formula unit; D(E_F) = 3.9 states/eV per cell; SG = P4_2/n (86)
1.0
9.146 0.000 0.000
0.000 9.146 0.000
0.000 0.000 5.497
Tl Cd Au
2 8 8
direct
0.250 0.250 0.250 Tl
0.750 0.750 0.750 Tl
0.094 0.649 0.156 Cd
0.149 0.906 0.656 Cd
0.351 0.594 0.656 Cd
0.406 0.851 0.156 Cd
0.594 0.149 0.844 Cd
0.649 0.406 0.344 Cd
0.851 0.094 0.344 Cd
0.906 0.351 0.844 Cd
0.040 0.612 0.661 Au
0.112 0.960 0.161 Au
0.388 0.540 0.161 Au
0.460 0.888 0.661 Au
0.540 0.112 0.339 Au
0.612 0.460 0.839 Au
0.888 0.040 0.839 Au
0.960 0.388 0.339 Au


PBE NbAlNi4, optimized geometry; density = 7.84 Mg/m³; calculated formation energy = -2.1 eV per formula unit; D(E_F) = 4.2 states/eV per cell; energy above the most stable polymorph in this dataset = 0 meV/atom; SG = C2/m (12)
1.0
2.194 -3.972 0.000
2.194 3.972 0.000
-0.837 0.000 4.312
Nb Al Ni
1 1 4
direct
0.000 0.000 0.000 Nb
0.500 0.500 0.500 Al
0.168 0.832 0.500 Ni
0.334 0.666 0.000 Ni
0.666 0.334 0.000 Ni
0.832 0.168 0.500 Ni


PBE CaPaPb2, optimized geometry; density = 9.77 Mg/m³; calculated formation energy = -0.1 eV per formula unit; D(E_F) = 7.0 states/eV per cell; energy above the most stable polymorph in this dataset = 149 meV/atom; SG = Fm-3m (225)
1.0
0.000 3.876 3.876
3.876 0.000 3.876
3.876 3.876 0.000
Ca Pa Pb
1 1 2
direct
0.000 0.000 0.000 Ca
0.500 0.500 0.500 Pa
0.250 0.250 0.250 Pb
0.750 0.750 0.750 Pb


PBE SrCrAgCl6, optimized geometry; density = 3.28 Mg/m³; SG = P-31c (163); energy relative to the elements, uncorrected = -1.37 eV per atom
1.0
6.838 0.000 0.000
-3.419 5.922 0.000
0.000 0.000 11.495
Sr Cr Ag Cl
2 2 2 12
direct
0.333 0.667 0.250 Sr
0.667 0.333 0.750 Sr
0.333 0.667 0.750 Cr
0.667 0.333 0.250 Cr
0.000 0.000 0.000 Ag
0.000 0.000 0.500 Ag
0.057 0.379 0.628 Cl
0.057 0.679 0.872 Cl
0.321 0.379 0.872 Cl
0.321 0.943 0.628 Cl
0.379 0.057 0.128 Cl
0.379 0.321 0.372 Cl
0.621 0.679 0.628 Cl
0.621 0.943 0.872 Cl
0.679 0.057 0.372 Cl
0.679 0.621 0.128 Cl
0.943 0.321 0.128 Cl
0.943 0.621 0.372 Cl


PBE TlCrPb2Cl8, optimized geometry; density = 4.35 Mg/m³; SG = P-1 (2); energy relative to the elements, uncorrected = -1.07 eV per atom
1.0
6.347 0.000 0.000
-0.178 6.590 0.000
-0.025 -0.002 8.720
Tl Cr Pb Cl
1 1 2 8
direct
0.000 0.000 0.000 Tl
0.000 0.000 0.500 Cr
0.499 0.500 0.739 Pb
0.501 0.500 0.261 Pb
0.214 0.704 0.499 Cl
0.219 0.145 0.307 Cl
0.221 0.144 0.694 Cl
0.269 0.619 0.000 Cl
0.731 0.381 0.000 Cl
0.779 0.856 0.306 Cl
0.781 0.855 0.693 Cl
0.786 0.296 0.501 Cl


PBE PuIn2Au, optimized geometry; density = 11.54 Mg/m³; calculated formation energy = -0.9 eV per formula unit; D(E_F) = 13.9 states/eV per cell; SG = P4/mmm (123)
1.0
4.501 0.000 0.000
0.000 4.501 0.000
0.000 0.000 4.765
Pu In Au
1 2 1
direct
0.000 0.000 0.000 Pu
0.000 0.500 0.500 In
0.500 0.000 0.500 In
0.500 0.500 0.000 Au


PBE LiCe3Pr2S6, optimized geometry; density = 5.37 Mg/m³; D(E_F) = 18.1 states/eV per cell; SG = C2/m (12); energy relative to the elements, uncorrected = -1.93 eV per atom
1.0
3.494 -6.061 0.000
3.494 6.061 0.000
-2.340 0.000 6.586
Li Ce Pr S
1 3 2 6
direct
0.000 0.000 0.000 Li
0.168 0.832 0.500 Ce
0.500 0.500 0.500 Ce
0.832 0.168 0.500 Ce
0.334 0.666 0.000 Pr
0.666 0.334 0.000 Pr
0.083 0.405 0.248 S
0.239 0.239 0.750 S
0.405 0.083 0.248 S
0.595 0.917 0.752 S
0.761 0.761 0.250 S
0.917 0.595 0.752 S


PBE SrMn4Hg, optimized geometry; density = 7.31 Mg/m³; calculated formation energy = 3.0 eV per formula unit; D(E_F) = 5.4 states/eV per cell; SG = F-43m (216)
1.0
0.000 3.865 3.865
3.865 0.000 3.865
3.865 3.865 0.000
Sr Mn Hg
1 4 1
direct
0.000 0.000 0.000 Sr
0.375 0.375 0.375 Mn
0.375 0.375 0.874 Mn
0.375 0.874 0.375 Mn
0.874 0.375 0.375 Mn
0.750 0.750 0.750 Hg


PBE Ac12Ag6Ir, optimized geometry; density = 7.97 Mg/m³; calculated formation energy = -2.2 eV per formula unit; D(E_F) = 23.9 states/eV per cell; SG = R-3 (148)
1.0
6.922 3.996 4.476
-6.922 3.996 4.476
0.000 -7.993 4.476
Ac Ag Ir
12 6 1
direct
0.022 0.684 0.921 Ac
0.079 0.978 0.316 Ac
0.191 0.416 0.562 Ac
0.316 0.079 0.978 Ac
0.416 0.562 0.191 Ac
0.438 0.809 0.584 Ac
0.562 0.191 0.416 Ac
0.584 0.438 0.809 Ac
0.684 0.921 0.022 Ac
0.809 0.584 0.438 Ac
0.921 0.022 0.684 Ac
0.978 0.316 0.079 Ac
0.126 0.638 0.313 Ag
0.313 0.126 0.638 Ag
0.362 0.687 0.874 Ag
0.638 0.313 0.126 Ag
0.687 0.874 0.362 Ag
0.874 0.362 0.687 Ag
0.000 0.000 0.000 Ir


PBE CuSnRu2, optimized geometry; density = 9.22 Mg/m³; calculated formation energy = 1.9 eV per formula unit; D(E_F) = 9.1 states/eV per cell; SG = I-42d (122)
1.0
-1.952 1.952 9.090
1.952 -1.952 9.090
1.952 1.952 -9.090
Cu Sn Ru
2 2 4
direct
0.000 0.000 0.000 Cu
0.750 0.250 0.500 Cu
0.250 0.750 0.500 Sn
0.500 0.500 0.000 Sn
0.053 0.625 0.928 Ru
0.375 0.303 0.428 Ru
0.697 0.125 0.072 Ru
0.875 0.947 0.572 Ru


PBE GaHg2IrAu, optimized geometry; density = 10.11 Mg/m³; calculated formation energy = 2.7 eV per formula unit; D(E_F) = 2.7 states/eV per cell; SG = P4/mmm (123)
1.0
5.232 0.000 0.000
0.000 5.232 0.000
0.000 0.000 5.162
Ga Hg Ir Au
1 2 1 1
direct
0.000 0.000 0.000 Ga
0.000 0.500 0.500 Hg
0.500 0.000 0.500 Hg
0.500 0.500 0.500 Ir
0.500 0.500 0.000 Au


PBE InIrW2, optimized geometry; density = 16.08 Mg/m³; calculated formation energy = 2.1 eV per formula unit; D(E_F) = 3.5 states/eV per cell; SG = P4/mmm (123)
1.0
3.455 0.000 0.000
0.000 3.455 0.000
0.000 0.000 5.836
In Ir W
1 1 2
direct
0.000 0.000 0.000 In
0.000 0.000 0.500 Ir
0.500 0.500 0.287 W
0.500 0.500 0.713 W


PBE SrAgSb2, optimized geometry; density = 6.02 Mg/m³; D(E_F) = 1.6 states/eV per cell; SG = R-3m (166); energy relative to the elements, uncorrected = -0.31 eV per atom
1.0
2.537 1.465 5.431
-2.537 1.465 5.431
0.000 -2.930 5.431
Sr Ag Sb
1 1 2
direct
0.000 0.000 0.000 Sr
0.500 0.500 0.500 Ag
0.208 0.208 0.208 Sb
0.792 0.792 0.792 Sb